{
  "formula": "TiIO",
  "functional": "PBE",
  "state": "relaxed",
  "lattice": [[5.683, 0.000, 0.000], [0.000, 5.761, 0.290], [0.000, -2.603, 9.388]],
  "species": ["O", "I", "Ti", "Ti", "I", "I", "O", "Ti", "I", "O", "Ti", "O"],
  "fractional_positions": [[0.137, 0.299, 0.999], [0.528, 0.669, 0.301], [0.150, 0.580, 0.903], [0.650, 0.920, 0.097], [0.028, 0.831, 0.699], [0.972, 0.169, 0.301], [0.637, 0.201, 0.001], [0.850, 0.420, 0.097], [0.472, 0.331, 0.699], [0.363, 0.799, 0.999], [0.350, 0.080, 0.903], [0.863, 0.701, 0.001]],
  "total_magnetization_mub_per_cell": 0.0,
  "dos_at_fermi_per_ev_atom": 0.571,
  "final_energy_ev_per_atom": -6.701,
  "e_form_raw_ev_per_atom": -1.90
}



{
  "formula": "TiI2O2",
  "functional": "PBE",
  "state": "relaxed",
  "lattice": [[4.088, 0.000, 0.000], [0.000, 4.088, 0.000], [0.000, 0.000, 6.086]],
  "species": ["I", "O", "Ti", "I", "O"],
  "fractional_positions": [[0.500, 0.500, 0.500], [0.000, 0.500, 0.000], [0.000, 0.000, 0.000], [0.000, 0.000, 0.500], [0.500, 0.000, 0.000]],
  "relative_energy_mev_per_atom": 0,
  "total_magnetization_mub_per_cell": 0.0,
  "dos_at_fermi_per_ev_atom": 0.257,
  "final_energy_ev_per_atom": -5.071,
  "e_form_raw_ev_per_atom": -0.89
}



{
  "formula": "TiTlIO2",
  "functional": "PBE",
  "state": "relaxed",
  "lattice": [[-1.959, 1.349, -3.535], [-3.754, -1.185, 1.629], [-0.685, 5.663, 2.541]],
  "species": ["Tl", "Ti", "O", "O", "I"],
  "fractional_positions": [[0.000, 0.000, 0.000], [0.500, 0.500, 0.500], [0.500, 0.000, 0.000], [0.000, 0.500, 0.000], [0.000, 0.000, 0.500]],
  "relative_energy_mev_per_atom": 1404,
  "total_magnetization_mub_per_cell": 2.1,
  "dos_at_fermi_per_ev_atom": 1.685,
  "final_energy_ev_per_atom": -4.118,
  "e_form_raw_ev_per_atom": 0.23
}



{
  "formula": "TiTlIO2",
  "functional": "PBE",
  "state": "relaxed",
  "lattice": [[-3.341, -2.442, 0.151], [1.672, -2.093, 3.157], [-2.453, 3.583, 3.675]],
  "species": ["Ti", "I", "O", "Tl", "O"],
  "fractional_positions": [[0.000, 0.000, 0.000], [0.000, 0.000, 0.500], [0.500, 0.000, 0.000], [0.500, 0.500, 0.500], [0.000, 0.500, 0.000]],
  "relative_energy_mev_per_atom": 0,
  "total_magnetization_mub_per_cell": 0.1,
  "dos_at_fermi_per_ev_atom": 0.263,
  "final_energy_ev_per_atom": -5.521,
  "e_form_raw_ev_per_atom": -1.18
}